No. 1
{
  "formula": "ScW",
  "functional": "PBE",
  "state": "optimized geometry",
  "cell": [[2.7643, 0.0000, 0.0000], [0.0000, 4.8532, 0.0000], [0.0000, 0.0000, 5.4926]],
  "species": ["Sc", "Sc", "W", "W"],
  "frac_coords": [[0.2500, 0.2500, 0.1107], [0.7500, 0.7500, 0.8893], [0.2500, 0.7500, 0.3946], [0.7500, 0.2500, 0.6054]],
  "ef_mev_per_atom": 386,
  "space_group": "Pmmn (59)",
  "de_polymorph_mev_per_atom": 294.1
}



No. 2
{
  "formula": "ScW2",
  "functional": "PBE",
  "state": "optimized geometry",
  "cell": [[3.2365, 0.0000, 0.0000], [-0.0004, 4.6807, 0.0000], [-1.6058, -2.3370, 13.9853]],
  "species": ["Sc", "Sc", "Sc", "Sc", "W", "W", "W", "W", "W", "W", "W", "W"],
  "frac_coords": [[0.0383, 0.2884, 0.0764], [0.2060, 0.4562, 0.4120], [0.7940, 0.5438, 0.5880], [0.9617, 0.7116, 0.9236], [0.1279, 0.8778, 0.2555], [0.2883, 0.0381, 0.5766], [0.3766, 0.6268, 0.7538], [0.4456, 0.1954, 0.8914], [0.5544, 0.8046, 0.1086], [0.6234, 0.3732, 0.2462], [0.7117, 0.9619, 0.4234], [0.8721, 0.1222, 0.7445]],
  "ef_mev_per_atom": 294,
  "space_group": "P-1 (2)"
}



No. 3
{
  "formula": "Sc2W",
  "functional": "PBE",
  "state": "optimized geometry",
  "cell": [[4.9199, 0.0000, 0.0000], [0.0000, 4.9199, 0.0000], [0.0000, 0.0000, 2.9500]],
  "species": ["Sc", "Sc", "W"],
  "frac_coords": [[0.0000, 0.5000, 0.0000], [0.5000, 0.0000, 0.0000], [0.0000, 0.0000, 0.5000]],
  "ef_mev_per_atom": 537,
  "space_group": "P4/mmm (123)",
  "de_polymorph_mev_per_atom": 424.1
}



No. 4
{
  "formula": "Sc3W4",
  "functional": "PBE",
  "state": "optimized geometry",
  "cell": [[5.3716, 0.0000, 0.0000], [-2.6858, 4.6519, 0.0000], [0.0000, 0.0000, 5.0531]],
  "species": ["Sc", "Sc", "Sc", "W", "W", "W", "W"],
  "frac_coords": [[0.0000, 0.5000, 0.0000], [0.5000, 0.0000, 0.0000], [0.5000, 0.5000, 0.0000], [0.0000, 0.0000, 0.2494], [0.0000, 0.0000, 0.7506], [0.3333, 0.6667, 0.5000], [0.6667, 0.3333, 0.5000]],
  "ef_mev_per_atom": 664,
  "space_group": "P6/mmm (191)",
  "de_polymorph_mev_per_atom": 530.3
}



No. 5
{
  "formula": "Sc3W",
  "functional": "PBE",
  "state": "optimized geometry",
  "cell": [[-2.1805, 2.1805, 8.7037], [2.1805, -2.1805, 8.7037], [2.1805, 2.1805, -8.7037]],
  "species": ["Sc", "Sc", "Sc", "Sc", "Sc", "Sc", "W", "W"],
  "frac_coords": [[0.0000, 0.5000, 0.5000], [0.1233, 0.1233, 0.0000], [0.2500, 0.7500, 0.5000], [0.5000, 0.0000, 0.5000], [0.7500, 0.2500, 0.5000], [0.8767, 0.8767, 0.0000], [0.3724, 0.3724, 0.0000], [0.6276, 0.6276, 0.0000]],
  "ef_mev_per_atom": 243,
  "space_group": "I4/mmm (139)",
  "de_polymorph_mev_per_atom": 68.9
}



No. 6
{
  "formula": "ScW3",
  "functional": "PBE",
  "state": "optimized geometry",
  "cell": [[5.1586, 0.0000, 0.0000], [0.0000, 5.1586, 0.0000], [0.0000, 0.0000, 5.1586]],
  "species": ["Sc", "Sc", "W", "W", "W", "W", "W", "W"],
  "frac_coords": [[0.0000, 0.0000, 0.0000], [0.5000, 0.5000, 0.5000], [0.0000, 0.2500, 0.5000], [0.0000, 0.7500, 0.5000], [0.2500, 0.5000, 0.0000], [0.5000, 0.0000, 0.2500], [0.5000, 0.0000, 0.7500], [0.7500, 0.5000, 0.0000]],
  "ef_mev_per_atom": 303,
  "space_group": "Pm-3n (223)"
}



No. 7
{
  "formula": "Sc3W",
  "functional": "PBE",
  "state": "optimized geometry",
  "cell": [[-2.1234, 2.2895, 4.2462], [2.1234, -2.2895, 4.2462], [2.1234, 2.2895, -4.2462]],
  "species": ["Sc", "Sc", "Sc", "W"],
  "frac_coords": [[0.0000, 0.0000, 0.0000], [0.2566, 0.7566, 0.5000], [0.7434, 0.2434, 0.5000], [0.5000, 0.5000, 0.0000]],
  "ef_mev_per_atom": 243,
  "space_group": "Immm (71)",
  "de_polymorph_mev_per_atom": 69.1
}



No. 8
{
  "formula": "Sc2W",
  "functional": "PBE",
  "state": "optimized geometry",
  "cell": [[0.0000, 3.8691, 3.8691], [3.8691, 0.0000, 3.8691], [3.8691, 3.8691, 0.0000]],
  "species": ["Sc", "Sc", "Sc", "Sc", "W", "W"],
  "frac_coords": [[0.0000, 0.0000, 0.0000], [0.0000, 0.0000, 0.5000], [0.0000, 0.5000, 0.0000], [0.5000, 0.0000, 0.0000], [0.3750, 0.3750, 0.3750], [0.6250, 0.6250, 0.6250]],
  "ef_mev_per_atom": 817,
  "space_group": "Fd-3m (227)",
  "de_polymorph_mev_per_atom": 703.4
}